No. 1
Entry from Alexandria via LeMat-Bulk: an optimized crystal structure of Mn2Al4Ni (PBE).

**SG**: I4/mmm (139)
**Uncorrected energy**: -5.3496 eV/atom

a = 4.4203 Å, b = 4.4203 Å, c = 7.0011 Å
α = 71.60°, β = 71.60°, γ = 90.00°
With the nearest neighbours (Å) after each atom.
Fractional coordinates of all 7 atoms:
Mn 0.6119 0.6119 0.7761  5 Al 2.51-2.62, 1 Mn 2.81
Mn 0.3881 0.3881 0.2239  5 Al 2.51-2.62, 1 Mn 2.81
Al 0.1878 0.1878 0.6244  1 Ni 2.35, 1 Mn 2.51
Al 0.8122 0.8122 0.3756  1 Ni 2.35, 1 Mn 2.51
Al 0.5000 0.0000 0.0000  2 Ni 2.21
Al 0.0000 0.5000 0.0000  2 Ni 2.21
Ni 0.0000 0.0000 0.0000  6 Al 2.21-2.35

No. 2
Entry from Alexandria via LeMat-Bulk: an optimized crystal structure of MnAl5Ni4 (PBE).

**SG**: P4/mmm (123)
**Uncorrected energy**: -5.6774 eV/atom

a = 2.8693 Å, b = 2.8693 Å, c = 14.9121 Å
α = 90.00°, β = 90.00°, γ = 90.00°
With the nearest neighbours (Å) after each atom.
Fractional coordinates of all 10 atoms:
Al 0.5000 0.5000 0.1089  4 Ni 2.50, 4 Mn 2.60
Al 0.5000 0.5000 0.8911  4 Ni 2.50, 4 Mn 2.60
Al 0.5000 0.5000 0.6952  8 Ni 2.49-2.50
Al 0.5000 0.5000 0.3048  8 Ni 2.49-2.50
Al 0.5000 0.5000 0.5000  8 Ni 2.50
Ni 0.0000 0.0000 0.2065  8 Al 2.50
Ni 0.0000 0.0000 0.5978  8 Al 2.49-2.50
Ni 0.0000 0.0000 0.7935  8 Al 2.50
Ni 0.0000 0.0000 0.4022  8 Al 2.49-2.50
Mn 0.0000 0.0000 0.0000  8 Al 2.60, 4 Mn 2.87

No. 3
Entry from Alexandria via LeMat-Bulk: an optimized crystal structure of Mn2AlNi2 (PBE).

**SG**: I4/mmm (139)
**Uncorrected energy**: -6.5120 eV/atom

a = 5.6405 Å, b = 5.6405 Å, c = 5.6405 Å
α = 143.43°, β = 143.43°, γ = 52.68°
With the nearest neighbours (Å) after each atom.
Fractional coordinates of all 5 atoms:
Ni 0.7500 0.2500 0.5000  4 Mn 2.35, 4 Ni 2.50
Ni 0.2500 0.7500 0.5000  4 Mn 2.35, 4 Ni 2.50
Al 0.0000 0.0000 0.0000  8 Mn 2.69
Mn 0.4035 0.4035 0.0000  1 Mn 1.95
Mn 0.5965 0.5965 0.0000  1 Mn 1.95

No. 4
Entry from Alexandria via LeMat-Bulk: an optimized crystal structure of MnAl2Ni (PBE).

**SG**: I-42d (122)
**Uncorrected energy**: -5.5513 eV/atom

a = 6.6474 Å, b = 6.6474 Å, c = 5.3828 Å
α = 51.87°, β = 51.87°, γ = 90.00°
With the nearest neighbours (Å) after each atom.
Fractional coordinates of all 8 atoms:
Al 0.6499 0.1250 0.2500  2 Ni 2.33, 2 Mn 2.56
Al 0.3750 0.3501 0.7500  2 Ni 2.33, 2 Mn 2.56
Al 0.1001 0.6250 0.2500  2 Ni 2.33, 2 Mn 2.56
Al 0.8750 0.8999 0.7500  2 Ni 2.33, 2 Mn 2.56
Mn 0.2500 0.7500 0.5000  4 Al 2.56, 2 Ni 2.62
Mn 0.5000 0.5000 0.0000  4 Al 2.56, 2 Ni 2.62
Ni 0.7500 0.2500 0.5000  4 Al 2.33
Ni 0.0000 0.0000 0.0000  4 Al 2.33

No. 5
Entry from Alexandria via LeMat-Bulk: an optimized crystal structure of Mn2AlNi2 (PBE).

**SG**: P4/mbm (127)
**Uncorrected energy**: -6.6623 eV/atom

a = 6.9673 Å, b = 6.9673 Å, c = 2.7359 Å
α = 90.00°, β = 90.00°, γ = 90.00°
With the nearest neighbours (Å) after each atom.
Fractional coordinates of all 10 atoms:
Al 0.5000 0.5000 0.0000  4 Mn 2.68, 2 Al 2.74, 8 Ni 2.97
Al 0.0000 0.0000 0.0000  4 Mn 2.68, 2 Al 2.74, 8 Ni 2.97
Mn 0.3576 0.8576 0.0000  6 Ni 2.43-2.48, 2 Al 2.68
Mn 0.8576 0.6424 0.0000  6 Ni 2.43-2.48, 2 Al 2.68
Mn 0.1424 0.3576 0.0000  6 Ni 2.43-2.48, 2 Al 2.68
Mn 0.6424 0.1424 0.0000  6 Ni 2.43-2.48, 2 Al 2.68
Ni 0.1535 0.6535 0.5000  6 Mn 2.43-2.48
Ni 0.6535 0.8465 0.5000  6 Mn 2.43-2.48
Ni 0.8465 0.3465 0.5000  6 Mn 2.43-2.48
Ni 0.3465 0.1535 0.5000  6 Mn 2.43-2.48

No. 6
Entry from Alexandria via LeMat-Bulk: an optimized crystal structure of MnAl2Ni (PBE).

**SG**: C2/m (12)
**Uncorrected energy**: -5.8273 eV/atom

a = 4.4136 Å, b = 4.4136 Å, c = 4.7229 Å
α = 77.99°, β = 77.99°, γ = 36.15°
With the nearest neighbours (Å) after each atom.
Fractional coordinates of all 4 atoms:
Mn 0.7500 0.7500 0.7500  6 Al 2.59-2.61, 4 Ni 2.73, 2 Mn 2.74
Al 0.9940 0.9940 0.0052  3 Ni 2.52-2.65, 3 Mn 2.59-2.61, 6 Al 2.71-2.76
Al 0.5060 0.5060 0.4948  3 Ni 2.52-2.65, 3 Mn 2.59-2.61, 6 Al 2.71-2.76
Ni 0.2500 0.2500 0.2500  6 Al 2.52-2.65, 4 Mn 2.73, 2 Ni 2.74

| no. | ΔE_f (meV/atom) |
| --- | --- |
| 1 | 234.8 |
| 2 | -576.6 |
| 3 | 216.9 |
| 4 | 57.7 |
| 5 | 66.5 |
| 6 | -218.3 |